No. 1
Compound: Na6Sn2PC4O16
Source: the Alexandria database
Functional: GGA-PBEsol
Structure: relaxed

Values from the calculation:
energy relative to the elements, uncorrected: -1.656 eV/atom
DFT total energy: -6.665 eV per atom
space-group type: No. 203

abc: 10.130 10.130 10.130
angles: 60.00 60.00 60.00
Fractional coordinates of all 58 atoms:
O  0.063  0.063  0.812
O  0.187  0.438  0.187
O  0.271  0.527  0.796
O  0.844  0.454  0.723
O  0.063  0.063  0.063
O  0.844  0.723  0.979
O  0.812  0.063  0.063
O  0.979  0.844  0.723
O  0.979  0.723  0.454
O  0.187  0.187  0.438
O  0.796  0.527  0.406
O  0.454  0.979  0.723
O  0.438  0.187  0.187
O  0.406  0.271  0.796
O  0.723  0.844  0.454
O  0.271  0.796  0.406
O  0.406  0.527  0.271
O  0.527  0.271  0.406
O  0.723  0.979  0.844
O  0.723  0.454  0.979
O  0.844  0.979  0.454
O  0.406  0.796  0.527
O  0.454  0.723  0.844
O  0.527  0.406  0.796
O  0.979  0.454  0.844
O  0.063  0.812  0.063
O  0.187  0.187  0.187
O  0.454  0.844  0.979
O  0.796  0.271  0.527
O  0.796  0.406  0.271
O  0.527  0.796  0.271
O  0.271  0.406  0.527
Na  0.449  0.449  0.051
Na  0.801  0.801  0.199
Na  0.199  0.801  0.801
Na  0.449  0.051  0.051
Na  0.449  0.051  0.449
Na  0.199  0.199  0.801
Na  0.199  0.801  0.199
Na  0.051  0.449  0.051
Na  0.051  0.051  0.449
Na  0.801  0.199  0.801
Na  0.051  0.449  0.449
Na  0.801  0.199  0.199
C  0.401  0.401  0.401
C  0.401  0.796  0.401
C  0.454  0.849  0.849
C  0.796  0.401  0.401
C  0.849  0.849  0.454
C  0.401  0.401  0.796
C  0.849  0.849  0.849
C  0.849  0.454  0.849
Sn  0.625  0.625  0.625
Sn  0.625  0.625  0.125
Sn  0.125  0.625  0.625
Sn  0.625  0.125  0.625
P  0.000  0.000  0.000
P  0.250  0.250  0.250


No. 2
Compound: Na3SnPCO7
Source: the Alexandria database
Functional: GGA-PBEsol
Structure: relaxed

Values from the calculation:
energy relative to the elements, uncorrected: -1.881 eV/atom
DFT total energy: -6.546 eV per atom
space-group type: No. 4

abc: 5.472 6.868 9.266
angles: 90.00 96.49 90.00
Fractional coordinates of all 26 atoms:
Na  0.991  0.047  0.980
Na  0.524  0.801  0.140
Na  0.490  0.493  0.496
Na  0.009  0.547  0.020
Na  0.476  0.301  0.860
Na  0.510  0.993  0.504
O  0.878  0.339  0.826
O  0.478  0.772  0.697
O  0.717  0.789  0.914
O  0.322  0.696  0.901
O  0.862  0.573  0.268
O  0.678  0.196  0.099
O  0.801  0.913  0.347
O  0.138  0.073  0.732
O  0.794  0.246  0.562
O  0.199  0.413  0.653
O  0.283  0.289  0.086
O  0.122  0.839  0.174
O  0.206  0.746  0.438
O  0.522  0.272  0.303
Sn  0.069  0.735  0.667
Sn  0.931  0.235  0.333
C  0.488  0.254  0.161
C  0.512  0.754  0.839
P  0.002  0.767  0.306
P  0.998  0.267  0.694


No. 3
Compound: Na2TbPCO7
Source: the Alexandria database
Functional: GGA-PBEsol
Structure: relaxed

Values from the calculation:
energy relative to the elements, uncorrected: -2.370 eV/atom
DFT total energy: -7.369 eV per atom
space-group type: No. 11

abc: 5.017 6.961 9.390
angles: 90.00 90.55 90.00
Fractional coordinates of all 24 atoms:
O  0.027  0.750  0.847
O  0.821  0.568  0.348
O  0.717  0.250  0.953
O  0.179  0.068  0.652
O  0.821  0.932  0.348
O  0.537  0.250  0.173
O  0.390  0.750  0.393
O  0.610  0.250  0.607
O  0.463  0.750  0.827
O  0.973  0.250  0.153
O  0.179  0.432  0.652
O  0.748  0.750  0.578
O  0.283  0.750  0.047
O  0.252  0.250  0.422
Na  0.760  0.012  0.792
Na  0.760  0.488  0.792
Na  0.240  0.988  0.208
Na  0.240  0.512  0.208
Tb  0.226  0.750  0.622
Tb  0.774  0.250  0.378
C  0.257  0.750  0.914
C  0.743  0.250  0.086
P  0.302  0.250  0.587
P  0.698  0.750  0.413


No. 4
Compound: Na3TlPCO7
Source: the Alexandria database
Functional: GGA-PBEsol
Structure: relaxed

Values from the calculation:
energy relative to the elements, uncorrected: -1.767 eV/atom
DFT total energy: -6.306 eV per atom
space-group type: No. 11

abc: 5.233 7.011 9.351
angles: 90.00 90.85 90.00
Fractional coordinates of all 26 atoms:
O  0.223  0.250  0.439
O  0.467  0.750  0.863
O  0.416  0.750  0.380
O  0.584  0.250  0.620
O  0.824  0.576  0.317
O  0.824  0.924  0.317
O  0.283  0.750  0.078
O  0.717  0.250  0.922
O  0.533  0.250  0.137
O  0.176  0.424  0.683
O  0.777  0.750  0.561
O  0.035  0.750  0.880
O  0.965  0.250  0.120
O  0.176  0.076  0.683
Na  0.240  0.250  0.919
Na  0.243  0.005  0.247
Na  0.757  0.995  0.753
Na  0.243  0.495  0.247
Na  0.760  0.750  0.081
Na  0.757  0.505  0.753
Tl  0.240  0.750  0.618
Tl  0.760  0.250  0.382
C  0.260  0.750  0.940
C  0.740  0.250  0.060
P  0.711  0.750  0.398
P  0.289  0.250  0.602


No. 5
Compound: Na3TlPCO7
Source: the Alexandria database
Functional: GGA-PBEsol
Structure: relaxed

Values from the calculation:
energy relative to the elements, uncorrected: -1.771 eV/atom
DFT total energy: -6.310 eV per atom
space-group type: No. 4

abc: 5.287 6.990 9.382
angles: 90.00 88.65 90.00
Fractional coordinates of all 26 atoms:
O  0.276  0.237  0.375
O  0.817  0.236  0.469
O  0.075  0.911  0.761
O  0.279  0.736  0.069
O  0.700  0.736  0.050
O  0.073  0.563  0.762
O  0.925  0.411  0.239
O  0.927  0.063  0.238
O  0.724  0.737  0.625
O  0.183  0.736  0.531
O  0.300  0.236  0.950
O  0.507  0.734  0.268
O  0.493  0.234  0.732
O  0.721  0.236  0.931
C  0.498  0.736  0.130
C  0.502  0.236  0.870
P  0.003  0.737  0.665
P  0.997  0.237  0.335
Tl  0.000  0.237  0.702
Tl  0.000  0.737  0.298
Na  0.502  0.491  0.495
Na  0.465  0.734  0.830
Na  0.498  0.991  0.505
Na  0.000  0.986  0.000
Na  0.535  0.234  0.170
Na  0.000  0.486  0.000


No. 6
Compound: NaVPCO7
Source: the Alexandria database
Functional: GGA-PBEsol
Structure: relaxed

Values from the calculation:
energy relative to the elements, uncorrected: -1.988 eV/atom
DFT total energy: -7.735 eV per atom
space-group type: No. 11

abc: 5.368 6.323 8.608
angles: 90.00 91.40 90.00
Site moments in Bohr magnetons follow the coordinates.
Fractional coordinates of all 22 atoms:
O  0.554  0.750  0.057  -0.02
O  0.589  0.250  0.621  -0.01
O  0.012  0.750  0.330  -0.01
O  0.270  0.057  0.174  -0.01
O  0.730  0.943  0.826  -0.01
O  0.986  0.250  0.983  -0.02
O  0.149  0.750  0.582  0.01
O  0.988  0.250  0.670  -0.01
O  0.270  0.443  0.174  -0.01
O  0.730  0.557  0.826  -0.01
O  0.851  0.250  0.418  0.01
O  0.446  0.250  0.943  -0.02
O  0.014  0.750  0.017  -0.02
O  0.411  0.750  0.379  -0.01
V  0.737  0.250  0.835  1.00
V  0.263  0.750  0.165  1.00
Na  0.710  0.750  0.577  0.00
Na  0.290  0.250  0.423  0.00
C  0.815  0.250  0.559  0.01
C  0.185  0.750  0.441  0.01
P  0.756  0.750  0.933  0.01
P  0.244  0.250  0.067  0.01


No. 7
Compound: Na3VPCO7
Source: the Alexandria database
Functional: GGA-PBEsol
Structure: relaxed

Values from the calculation:
energy relative to the elements, uncorrected: -1.923 eV/atom
DFT total energy: -7.001 eV per atom
space-group type: No. 4

abc: 5.315 6.621 8.751
angles: 90.00 91.47 90.00
Site moments in Bohr magnetons follow the coordinates.
Fractional coordinates of all 26 atoms:
O  0.800  0.263  0.355  0.00
O  0.609  0.764  0.495  0.01
O  0.182  0.764  0.072  -0.01
O  0.411  0.449  0.251  0.00
O  0.590  0.578  0.749  0.00
O  0.942  0.263  0.688  -0.01
O  0.236  0.264  0.878  -0.01
O  0.058  0.763  0.312  -0.01
O  0.410  0.078  0.251  0.00
O  0.764  0.764  0.122  -0.01
O  0.818  0.264  0.928  -0.01
O  0.200  0.763  0.645  0.00
O  0.589  0.949  0.749  0.00
O  0.391  0.264  0.505  0.01
Na  0.001  0.014  0.500  0.00
Na  0.054  0.264  0.159  0.00
Na  0.500  0.514  0.000  0.00
Na  0.999  0.514  0.500  0.00
Na  0.946  0.764  0.841  0.00
Na  0.500  0.014  0.000  0.00
P  0.488  0.763  0.654  0.01
P  0.512  0.263  0.346  0.01
C  0.004  0.263  0.830  0.04
C  0.996  0.763  0.170  0.04
V  0.556  0.263  0.723  2.58
V  0.444  0.763  0.277  2.58


No. 8
Compound: NaVPCO7
Source: the Alexandria database
Functional: GGA-PBEsol
Structure: relaxed

Values from the calculation:
energy relative to the elements, uncorrected: -1.983 eV/atom
DFT total energy: -7.730 eV per atom
space-group type: No. 4

abc: 5.235 6.202 9.056
angles: 90.00 88.49 90.00
Site moments in Bohr magnetons follow the coordinates.
Fractional coordinates of all 22 atoms:
O  0.721  0.954  0.844  -0.01
O  0.400  0.745  0.361  -0.02
O  0.003  0.237  0.689  -0.01
O  0.926  0.262  0.020  0.00
O  0.619  0.748  0.082  0.00
O  0.600  0.245  0.639  -0.02
O  0.074  0.762  0.980  0.00
O  0.997  0.737  0.311  -0.01
O  0.381  0.248  0.918  0.00
O  0.735  0.559  0.844  -0.04
O  0.891  0.253  0.447  -0.01
O  0.265  0.059  0.156  -0.04
O  0.279  0.454  0.156  -0.01
O  0.109  0.753  0.553  -0.01
V  0.729  0.271  0.834  1.00
V  0.271  0.771  0.166  1.00
P  0.789  0.762  0.943  0.01
P  0.211  0.262  0.057  0.01
C  0.162  0.744  0.421  0.01
C  0.838  0.244  0.579  0.01
Na  0.696  0.463  0.281  0.00
Na  0.304  0.963  0.719  0.00


What did the seventh record say?
Compound: Na3VPCO7
Source: the Alexandria database
Functional: GGA-PBEsol
Structure: relaxed

Values from the calculation:
energy relative to the elements, uncorrected: -1.923 eV/atom
DFT total energy: -7.001 eV per atom
space-group type: No. 4

abc: 5.315 6.621 8.751
angles: 90.00 91.47 90.00
Site moments in Bohr magnetons follow the coordinates.
Fractional coordinates of all 26 atoms:
O  0.800  0.263  0.355  0.00
O  0.609  0.764  0.495  0.01
O  0.182  0.764  0.072  -0.01
O  0.411  0.449  0.251  0.00
O  0.590  0.578  0.749  0.00
O  0.942  0.263  0.688  -0.01
O  0.236  0.264  0.878  -0.01
O  0.058  0.763  0.312  -0.01
O  0.410  0.078  0.251  0.00
O  0.764  0.764  0.122  -0.01
O  0.818  0.264  0.928  -0.01
O  0.200  0.763  0.645  0.00
O  0.589  0.949  0.749  0.00
O  0.391  0.264  0.505  0.01
Na  0.001  0.014  0.500  0.00
Na  0.054  0.264  0.159  0.00
Na  0.500  0.514  0.000  0.00
Na  0.999  0.514  0.500  0.00
Na  0.946  0.764  0.841  0.00
Na  0.500  0.014  0.000  0.00
P  0.488  0.763  0.654  0.01
P  0.512  0.263  0.346  0.01
C  0.004  0.263  0.830  0.04
C  0.996  0.763  0.170  0.04
V  0.556  0.263  0.723  2.58
V  0.444  0.763  0.277  2.58